Material: LiPrTa4N8
Method: DFT, PBE-GGA
State: relaxed

The structure in POSCAR format:
```
LiPrTa4N8
1.0
6.373 0.000 0.000
3.186 5.519 0.000
3.186 1.840 5.283
Ta N Pr Li
4 8 1 1
Direct
0.003 0.003 0.510 Ta
0.484 0.003 0.510 Ta
0.622 0.622 0.134 Ta
0.003 0.484 0.510 Ta
0.247 0.738 0.277 N
0.814 0.240 0.707 N
0.234 0.234 0.298 N
0.757 0.757 0.728 N
0.738 0.738 0.277 N
0.738 0.247 0.277 N
0.240 0.240 0.707 N
0.240 0.814 0.707 N
0.379 0.379 0.863 Pr
0.002 0.002 0.995 Li
```

## Properties
ρ ... 8791 kg/m3
Formation energy (no corrections) ... -967 meV/atom
Total moment ... 0.0 μB/cell



Material: LaNd2SmTm5
Method: DFT, PBE-GGA
State: relaxed

The structure in POSCAR format:
```
LaNd2SmTm5
1.0
8.707 0.000 0.000
0.000 8.707 0.000
-4.354 -4.354 7.756
La Tm Sm Nd
2 10 2 4
Direct
0.750 0.750 0.500 La
0.250 0.250 0.500 La
0.573 0.654 0.727 Tm
0.154 0.073 0.727 Tm
0.654 0.154 0.727 Tm
0.346 0.846 0.273 Tm
0.846 0.927 0.273 Tm
0.000 0.000 0.000 Tm
0.500 0.500 0.000 Tm
0.427 0.346 0.273 Tm
0.073 0.573 0.727 Tm
0.927 0.427 0.273 Tm
0.250 0.750 0.500 Sm
0.750 0.250 0.500 Sm
0.883 0.617 0.000 Nd
0.383 0.883 0.000 Nd
0.117 0.383 0.000 Nd
0.617 0.117 0.000 Nd
```

## Properties
ρ ... 8034 kg/m3
Raw total energy ... -4.366 eV/atom
Total moment ... 0.0 μB/cell



Material: TaNi4Te
Method: DFT, PBE-GGA
State: relaxed

The structure in POSCAR format:
```
TaNi4Te
1.0
0.000 3.446 3.446
3.446 0.000 3.446
3.446 3.446 0.000
Te Ni Ta
1 4 1
Direct
0.000 0.000 0.000 Te
0.624 0.624 0.129 Ni
0.624 0.624 0.624 Ni
0.624 0.129 0.624 Ni
0.129 0.624 0.624 Ni
0.250 0.250 0.250 Ta
```

## Properties
ρ ... 11024 kg/m3
Formation energy (no corrections) ... 16 meV/atom
Total moment ... 0.4 μB/cell



Material: Dy4Zn5Cu2
Method: DFT, PBE-GGA
State: relaxed

The structure in POSCAR format:
```
Dy4Zn5Cu2
1.0
3.643 0.000 0.000
0.000 6.973 0.044
0.000 -0.620 8.975
Zn Dy Cu
5 4 2
Direct
0.000 0.804 0.842 Zn
0.000 0.500 0.000 Zn
0.000 0.560 0.298 Zn
0.000 0.196 0.158 Zn
0.000 0.440 0.702 Zn
0.500 0.176 0.872 Dy
0.500 0.254 0.438 Dy
0.500 0.746 0.562 Dy
0.500 0.824 0.128 Dy
0.000 0.937 0.365 Cu
0.000 0.063 0.635 Cu
```

## Properties
ρ ... 8037 kg/m3
Raw total energy ... -3.264 eV/atom
Total moment ... 0.0 μB/cell



Material: Na4Tl3Hg2
Method: DFT, PBE-GGA
State: relaxed

The structure in POSCAR format:
```
Na4Tl3Hg2
1.0
5.141 0.001 -0.001
2.594 6.287 0.681
2.587 3.695 8.251
Na Tl Hg
4 3 2
Direct
0.653 0.684 0.010 Na
0.877 0.589 0.655 Na
0.347 0.316 0.990 Na
0.123 0.411 0.345 Na
0.422 0.792 0.362 Tl
0.000 0.000 0.000 Tl
0.578 0.208 0.638 Tl
0.216 0.868 0.699 Hg
0.784 0.132 0.301 Hg
```

## Properties
ρ ... 7240 kg/m3
Raw total energy ... -1.578 eV/atom
Total moment ... 0.0 μB/cell



Material: Ca2Tb3Pr8
Method: DFT, PBE-GGA
State: relaxed

The structure in POSCAR format:
```
Ca2Tb3Pr8
1.0
6.485 0.674 0.268
-0.558 6.929 -3.928
1.574 1.166 9.947
Pr Tb Ca
8 3 2
Direct
0.278 0.540 0.080 Pr
0.777 0.049 0.655 Pr
0.281 0.830 0.660 Pr
0.722 0.460 0.920 Pr
0.777 0.606 0.655 Pr
0.223 0.951 0.345 Pr
0.719 0.170 0.340 Pr
0.223 0.394 0.345 Pr
0.000 0.194 0.000 Tb
0.000 0.806 0.000 Tb
0.500 0.000 0.000 Tb
0.727 0.654 0.309 Ca
0.273 0.346 0.691 Ca
```

## Properties
ρ ... 5911 kg/m3
Raw total energy ... -4.134 eV/atom
Total moment ... 0.0 μB/cell



Material: Tb2BeGe3Ir4
Method: DFT, PBE-GGA
State: relaxed

The structure in POSCAR format:
```
Tb2BeGe3Ir4
1.0
4.161 0.000 0.000
0.000 4.161 0.000
0.000 0.000 10.100
Ir Ge Tb Be
4 3 2 1
Direct
0.000 0.000 0.000 Ir
0.000 0.500 0.376 Ir
0.500 0.000 0.624 Ir
0.500 0.500 0.000 Ir
0.500 0.000 0.864 Ge
0.000 0.500 0.136 Ge
0.000 0.000 0.500 Ge
0.000 0.500 0.745 Tb
0.500 0.000 0.255 Tb
0.500 0.500 0.500 Be
```

## Properties
ρ ... 12472 kg/m3
Raw total energy ... -6.962 eV/atom
Total moment ... 0.0 μB/cell



Material: Np2ScS5
Method: DFT, PBE-GGA
State: relaxed

The structure in POSCAR format:
```
Np2ScS5
1.0
4.855 0.000 1.631
2.428 4.344 0.815
0.093 0.000 7.768
Sc S Np
1 5 2
Direct
0.500 0.500 0.500 Sc
0.000 0.500 0.500 S
0.184 0.828 0.804 S
0.816 0.172 0.196 S
0.512 0.172 0.804 S
0.488 0.828 0.196 S
0.822 0.500 0.857 Np
0.178 0.500 0.143 Np
```

## Properties
ρ ... 6913 kg/m3
Formation energy (no corrections) ... -1317 meV/atom
Total moment ... 7.0 μB/cell



Material: CuRh2W
Method: DFT, PBE-GGA
State: relaxed

The structure in POSCAR format:
```
CuRh2W
1.0
4.597 -0.011 -0.015
1.262 4.420 0.015
-2.921 -2.216 2.769
W Rh Cu
1 2 1
Direct
0.750 0.250 0.500 W
0.000 0.000 0.000 Rh
0.500 0.500 0.000 Rh
0.250 0.750 0.500 Cu
```

## Properties
ρ ... 13370 kg/m3
Raw total energy ... -8.082 eV/atom
Total moment ... 0.0 μB/cell



Material: LiB2TeN
Method: DFT, PBE-GGA
State: relaxed

The structure in POSCAR format:
```
LiB2TeN
1.0
-2.098 2.919 2.650
1.795 -1.726 3.322
3.437 2.824 -0.390
Li Te B N
1 1 2 1
Direct
0.500 0.500 0.500 Li
0.000 0.000 0.000 Te
0.500 0.000 0.000 B
0.000 0.000 0.500 B
0.000 0.500 0.000 N
```

## Properties
ρ ... 3413 kg/m3
Formation energy (no corrections) ... 1842 meV/atom
Total moment ... 0.0 μB/cell



Material: Mg3GaSn3
Method: DFT, PBE-GGA
State: relaxed

The structure in POSCAR format:
```
Mg3GaSn3
1.0
-4.235 1.984 -4.623
-0.180 -6.149 -2.324
-6.205 -1.692 4.959
Ga Mg Sn
2 6 6
Direct
0.749 0.749 0.000 Ga
0.251 0.251 0.000 Ga
0.252 0.748 0.500 Mg
0.694 0.306 0.000 Mg
0.306 0.694 0.000 Mg
0.734 0.734 0.500 Mg
0.748 0.252 0.500 Mg
0.266 0.266 0.500 Mg
0.000 0.500 0.251 Sn
0.500 0.000 0.251 Sn
0.000 0.500 0.749 Sn
0.500 0.000 0.749 Sn
0.000 0.000 0.240 Sn
0.000 0.000 0.760 Sn
```

## Properties
ρ ... 4717 kg/m3
Raw total energy ... -2.851 eV/atom
Total moment ... 0.0 μB/cell



Material: Pu2BC3
Method: DFT, PBE-GGA
State: relaxed

The structure in POSCAR format:
```
Pu2BC3
1.0
-0.859 3.919 -3.444
-3.151 0.046 4.246
5.260 0.827 1.984
C Pu B
6 4 2
Direct
0.161 0.161 0.839 C
0.839 0.839 0.679 C
0.679 0.679 0.839 C
0.321 0.321 0.161 C
0.161 0.161 0.321 C
0.839 0.839 0.161 C
0.250 0.750 0.500 Pu
0.750 0.250 0.500 Pu
0.748 0.252 0.000 Pu
0.252 0.748 0.000 Pu
0.333 0.333 0.666 B
0.667 0.667 0.334 B
```

## Properties
ρ ... 14237 kg/m3
Raw total energy ... -10.333 eV/atom
Total moment ... 17.5 μB/cell



Material: Rb3TaSe4
Method: DFT, PBE-GGA
State: relaxed

The structure in POSCAR format:
```
Rb3TaSe4
1.0
-1.080 -1.194 -6.576
-0.955 -6.714 1.376
-13.074 2.217 1.745
Rb Se Ta
6 8 2
Direct
0.582 0.227 0.250 Rb
0.082 0.773 0.750 Rb
0.082 0.773 0.250 Rb
0.582 0.227 0.750 Rb
0.543 0.667 0.000 Rb
0.043 0.333 0.500 Rb
0.543 0.199 0.500 Se
0.116 0.835 0.500 Se
0.088 0.281 0.843 Se
0.588 0.719 0.657 Se
0.043 0.801 0.000 Se
0.616 0.165 0.000 Se
0.088 0.281 0.157 Se
0.588 0.719 0.343 Se
0.472 0.857 0.500 Ta
0.972 0.143 0.000 Ta
```

## Properties
ρ ... 3992 kg/m3
Formation energy (no corrections) ... -1111 meV/atom
Total moment ... 0.0 μB/cell



Material: Ce2HfCd6
Method: DFT, PBE-GGA
State: relaxed

The structure in POSCAR format:
```
Ce2HfCd6
1.0
-1.916 0.488 -2.482
-5.713 4.136 5.217
0.638 8.666 1.205
Cd Ce Hf
6 2 1
Direct
0.499 0.675 0.000 Cd
0.500 0.675 0.325 Cd
0.499 0.000 0.675 Cd
0.501 0.000 0.325 Cd
0.501 0.325 0.000 Cd
0.500 0.325 0.675 Cd
0.000 0.667 0.667 Ce
0.000 0.333 0.333 Ce
0.000 0.000 0.000 Hf
```

## Properties
ρ ... 8898 kg/m3
Raw total energy ... -3.164 eV/atom
Total moment ... 2.6 μB/cell



Material: Li2RhO2
Method: DFT, PBE-GGA
State: relaxed

The structure in POSCAR format:
```
Li2RhO2
1.0
-1.165 3.358 1.130
-3.442 -1.355 0.477
-1.536 0.184 4.025
O Li Rh
2 2 1
Direct
0.250 0.750 0.500 O
0.750 0.250 0.500 O
0.335 0.335 0.329 Li
0.665 0.665 0.671 Li
0.000 0.000 0.000 Rh
```

## Properties
ρ ... 5205 kg/m3
Formation energy (no corrections) ... -584 meV/atom
Total moment ... 1.5 μB/cell



Material: PrTcH5
Method: DFT, PBE-GGA
State: relaxed

The structure in POSCAR format:
```
PrTcH5
1.0
-3.863 0.414 -0.434
-1.836 -2.594 -3.737
-2.567 -3.884 1.546
H Pr Tc
5 1 1
Direct
0.872 0.294 0.294 H
0.460 0.706 0.706 H
0.433 0.189 0.811 H
0.433 0.811 0.189 H
0.943 0.500 0.500 H
0.928 0.000 0.000 Pr
0.462 0.500 0.500 Tc
```

## Properties
ρ ... 5296 kg/m3
Raw total energy ... -4.619 eV/atom
Total moment ... 0.4 μB/cell



Material: Tl5HgAs2
Method: DFT, PBE-GGA
State: relaxed

The structure in POSCAR format:
```
Tl5HgAs2
1.0
7.373 0.000 -3.480
-1.643 7.188 -3.480
-0.158 -0.198 9.216
As Tl Hg
4 10 2
Direct
0.112 0.388 0.000 As
0.388 0.888 0.000 As
0.612 0.112 0.000 As
0.888 0.612 0.000 As
0.014 0.514 0.703 Tl
0.811 0.986 0.297 Tl
0.311 0.811 0.297 Tl
0.514 0.689 0.703 Tl
0.986 0.486 0.297 Tl
0.689 0.189 0.703 Tl
0.189 0.014 0.703 Tl
0.000 0.000 0.000 Tl
0.500 0.500 0.000 Tl
0.486 0.311 0.297 Tl
0.250 0.250 0.500 Hg
0.750 0.750 0.500 Hg
```

## Properties
ρ ... 9530 kg/m3
Raw total energy ... -2.671 eV/atom
Total moment ... 0.0 μB/cell



Material: TaSe
Method: DFT, PBE-GGA
State: relaxed

The structure in POSCAR format:
```
TaSe
1.0
3.265 0.000 0.000
-1.633 2.828 0.000
0.000 0.000 9.596
Se Ta
2 2
Direct
0.667 0.333 0.318 Se
0.000 0.000 0.932 Se
0.000 0.000 0.504 Ta
0.667 0.333 0.746 Ta
```

## Properties
ρ ... 9743 kg/m3
Formation energy (no corrections) ... -438 meV/atom
Total moment ... 0.0 μB/cell



Material: ScCd2Os
Method: DFT, PBE-GGA
State: relaxed

The structure in POSCAR format:
```
ScCd2Os
1.0
-0.384 0.560 2.845
2.599 -3.512 1.042
4.542 3.349 -0.046
Cd Os Sc
2 1 1
Direct
0.000 0.000 0.490 Cd
0.000 0.000 0.010 Cd
0.500 0.500 0.250 Os
0.500 0.500 0.750 Sc
```

## Properties
ρ ... 10303 kg/m3
Raw total energy ... -4.685 eV/atom
Total moment ... 0.8 μB/cell



Material: Cs2TlZn
Method: DFT, PBE-GGA
State: relaxed

The structure in POSCAR format:
```
Cs2TlZn
1.0
4.999 0.016 0.010
2.515 6.871 0.344
2.517 2.743 6.308
Tl Cs Zn
1 2 1
Direct
0.250 0.166 0.334 Tl
0.068 0.843 0.024 Cs
0.432 0.476 0.657 Cs
0.750 0.015 0.485 Zn
```

## Properties
ρ ... 4203 kg/m3
Raw total energy ... -1.300 eV/atom
Total moment ... 0.0 μB/cell



Material: YCrSe2
Method: DFT, PBE-GGA
State: relaxed

The structure in POSCAR format:
```
YCrSe2
1.0
3.568 0.000 0.000
0.000 3.705 -0.166
0.000 0.311 6.912
Se Y Cr
2 1 1
Direct
0.000 0.750 0.485 Se
0.000 0.750 0.015 Se
0.500 0.250 0.250 Y
0.500 0.750 0.750 Cr
```

## Properties
ρ ... 5419 kg/m3
Formation energy (no corrections) ... -898 meV/atom
Total moment ... 4.2 μB/cell



Material: LaGa2Tc
Method: DFT, PBE-GGA
State: relaxed

The structure in POSCAR format:
```
LaGa2Tc
1.0
4.793 0.000 0.000
0.000 4.793 0.000
2.396 2.396 8.654
Tc Ga La
2 4 2
Direct
0.500 0.500 0.000 Tc
0.250 0.750 0.500 Tc
0.375 0.576 0.750 Ga
0.875 0.674 0.750 Ga
0.424 0.125 0.250 Ga
0.326 0.625 0.250 Ga
0.000 0.000 0.000 La
0.750 0.250 0.500 La
```

## Properties
ρ ... 6287 kg/m3
Raw total energy ... -5.325 eV/atom
Total moment ... 0.0 μB/cell



Material: CePm6SmDy2
Method: DFT, PBE-GGA
State: relaxed

The structure in POSCAR format:
```
CePm6SmDy2
1.0
8.842 0.000 1.231
0.000 6.940 0.000
-2.125 -3.470 5.277
Pm Dy Sm Ce
6 2 1 1
Direct
0.800 0.409 0.344 Pm
0.800 0.935 0.344 Pm
0.200 0.065 0.656 Pm
0.200 0.591 0.656 Pm
0.416 0.627 0.253 Pm
0.584 0.373 0.747 Pm
0.837 0.910 0.819 Dy
0.163 0.090 0.181 Dy
0.500 0.000 0.000 Sm
0.000 0.500 0.000 Ce
```

## Properties
ρ ... 7214 kg/m3
Raw total energy ... -4.595 eV/atom
Total moment ... 1.3 μB/cell